# Nd4Ho5Tm3

A relaxed structure of Nd4Ho5Tm3 (PBE-GGA, the Alexandria database).

## Properties
* ΔE_f: 0.232 eV per atom
* E: -4.38 eV/atom
* density: 7.98 g cm⁻³

Cell: 5.907 8.567 9.646 Å, 105.34 72.17 69.83°
Sites, in units of the cell vectors:
Nd: 0.863 0.222 0.053
Nd: 0.165 0.052 0.618
Nd: 0.835 0.948 0.382
Nd: 0.137 0.778 0.947
Ho: 0.634 0.936 0.796
Ho: 0.500 0.500 0.500
Ho: 0.211 0.460 0.118
Ho: 0.789 0.540 0.882
Ho: 0.366 0.064 0.204
Tm: 0.524 0.689 0.262
Tm: 0.000 0.500 0.500
Tm: 0.476 0.311 0.738